# 1
Computed, not measured: a relaxed La2MgIrN crystal at the PBE-GGA level of DFT.

Properties
Energy above the lowest structure with this stoichiometry ... 0 meV/atom
N(E_F) ... 0.6738 states/eV/atom
SG ... P4/mmm, No. 123

Cell: 5.061 5.061 4.119 Å, 90.00 90.00 90.00°
Atoms (fractional coordinates):
La1 0.000 0.500 0.000
La2 0.500 0.000 0.000
Mg1 0.000 0.000 0.500
Ir1 0.500 0.500 0.500
N1 0.000 0.000 0.000



# 2
Computed, not measured: a relaxed CsNaLi3 crystal at the PBE-GGA level of DFT.

Properties
Energy above the lowest structure with this stoichiometry ... 422 meV/atom
N(E_F) ... 1.3625 states/eV/atom
SG ... Pm-3m, No. 221
Energy of formation from the pure elements ... 0.70 eV/atom

Cell: 6.195 6.195 6.195 Å, 90.00 90.00 90.00°
Atoms (fractional coordinates):
Cs1 0.000 0.000 0.000
Na1 0.500 0.500 0.500
Li1 0.000 0.000 0.500
Li2 0.000 0.500 0.000
Li3 0.500 0.000 0.000



# 3
Computed, not measured: a relaxed Ac7Tl2Zn2 crystal at the PBE-GGA level of DFT.

Properties
N(E_F) ... 1.2559 states/eV/atom
SG ... Cmmm, No. 65
Energy of formation from the pure elements ... -0.02 eV/atom

Cell: 7.467 7.467 8.142 Å, 90.00 90.00 110.25°
Atoms (fractional coordinates):
Ac1 0.000 0.000 0.000
Ac2 0.000 0.500 0.274
Ac3 0.000 0.500 0.726
Ac4 0.500 0.000 0.274
Ac5 0.500 0.000 0.726
Ac6 0.500 0.500 0.241
Ac7 0.500 0.500 0.759
Tl1 0.175 0.175 0.500
Tl2 0.825 0.825 0.500
Zn1 0.290 0.710 0.000
Zn2 0.710 0.290 0.000



# 4
Computed, not measured: a relaxed Sc2MoPd2 crystal at the PBE-GGA level of DFT.

Properties
N(E_F) ... 0.8628 states/eV/atom
SG ... P4/mbm, No. 127
Energy of formation from the pure elements ... -0.31 eV/atom

Cell: 7.518 7.518 3.196 Å, 90.00 90.00 90.00°
Atoms (fractional coordinates):
Sc1 0.171 0.329 0.000
Sc2 0.329 0.829 0.000
Sc3 0.671 0.171 0.000
Sc4 0.829 0.671 0.000
Mo1 0.000 0.000 0.500
Mo2 0.500 0.500 0.500
Pd1 0.130 0.630 0.500
Pd2 0.370 0.130 0.500
Pd3 0.630 0.870 0.500
Pd4 0.870 0.370 0.500



# 5
Computed, not measured: a relaxed MnFePt2 crystal at the PBE-GGA level of DFT.

Properties
N(E_F) ... 1.0927 states/eV/atom
SG ... P2/m, No. 10
Energy of formation from the pure elements ... -0.13 eV/atom

Cell: 4.612 2.796 4.848 Å, 90.00 110.08 90.00°
Atoms (fractional coordinates):
Mn1 0.000 0.000 0.000
Fe1 0.000 0.500 0.500
Pt1 0.500 0.000 0.500
Pt2 0.500 0.500 0.000



# 6
Computed, not measured: a relaxed MnTe2P crystal at the PBE-GGA level of DFT.

Properties
N(E_F) ... 0.4448 states/eV/atom
SG ... Pm, No. 6

Cell: 4.227 4.103 6.069 Å, 90.00 99.05 90.00°
Atoms (fractional coordinates):
Mn1 0.000 0.000 0.000
Te1 0.171 0.500 0.676
Te2 0.554 0.000 0.278
P1 0.752 0.500 0.931



# 7
Computed, not measured: a relaxed NbCoW3 crystal at the PBE-GGA level of DFT.

Properties
Energy above the lowest structure with this stoichiometry ... 0 meV/atom
N(E_F) ... 1.2078 states/eV/atom
SG ... Pm-3m, No. 221
Energy of formation from the pure elements ... 1.24 eV/atom

Cell: 4.464 4.464 4.464 Å, 90.00 90.00 90.00°
Atoms (fractional coordinates):
Nb1 0.000 0.000 0.000
Co1 0.500 0.500 0.500
W1 0.000 0.500 0.500
W2 0.500 0.000 0.500
W3 0.500 0.500 0.000



# 8
Computed, not measured: a relaxed LiLa2Cu2 crystal at the PBE-GGA level of DFT.

Properties
Energy above the lowest structure with this stoichiometry ... 0 meV/atom
N(E_F) ... 0.7039 states/eV/atom
SG ... P4/mbm, No. 127
Energy of formation from the pure elements ... -0.12 eV/atom

Cell: 7.877 7.877 3.953 Å, 90.00 90.00 90.00°
Atoms (fractional coordinates):
Li1 0.000 0.000 0.000
Li2 0.500 0.500 0.000
La1 0.171 0.329 0.500
La2 0.329 0.829 0.500
La3 0.671 0.171 0.500
La4 0.829 0.671 0.500
Cu1 0.120 0.620 0.000
Cu2 0.380 0.120 0.000
Cu3 0.620 0.880 0.000
Cu4 0.880 0.380 0.000



# 9
Computed, not measured: a relaxed K3HoTc2O9 crystal at the PBE-GGA level of DFT.

Properties
N(E_F) ... 0.3947 states/eV/atom
SG ... P-3m1, No. 164

Cell: 5.747 5.747 7.113 Å, 90.00 90.00 120.00°
Atoms (fractional coordinates):
K1 0.000 0.000 0.000
K2 0.333 0.667 0.672
K3 0.667 0.333 0.328
Ho1 0.000 0.000 0.500
Tc1 0.333 0.667 0.160
Tc2 0.667 0.333 0.840
O1 0.000 0.500 0.000
O2 0.178 0.356 0.311
O3 0.178 0.822 0.311
O4 0.356 0.178 0.689
O5 0.500 0.000 0.000
O6 0.500 0.500 0.000
O7 0.644 0.822 0.311
O8 0.822 0.178 0.689
O9 0.822 0.644 0.689



# 10
Computed, not measured: a relaxed TeIr2Cl crystal at the PBE-GGA level of DFT.

Properties
Energy above the lowest structure with this stoichiometry ... 497 meV/atom
N(E_F) ... 0.9568 states/eV/atom
SG ... Imm2, No. 44

Cell: 6.559 6.559 6.559 Å, 153.98 142.59 46.14°
Atoms (fractional coordinates):
Te1 0.000 0.000 0.000
Ir1 0.594 0.594 0.000
Ir2 0.785 0.285 0.500
Cl1 0.289 0.789 0.500



# 11
Computed, not measured: a relaxed Te2PdSeI crystal at the PBE-GGA level of DFT.

Properties
N(E_F) ... 1.5869 states/eV/atom
SG ... P4/mmm, No. 123

Cell: 5.512 5.512 5.503 Å, 90.00 90.00 90.00°
Atoms (fractional coordinates):
Te1 0.000 0.500 0.000
Te2 0.500 0.000 0.000
Pd1 0.000 0.000 0.500
Se1 0.500 0.500 0.000
I1 0.500 0.500 0.500



# 12
Computed, not measured: a relaxed YTl2As crystal at the PBE-GGA level of DFT.

Properties
Energy above the lowest structure with this stoichiometry ... 617 meV/atom
N(E_F) ... 1.0831 states/eV/atom
SG ... Cmmm, No. 65
Energy of formation from the pure elements ... 0.11 eV/atom

Cell: 3.504 3.504 9.486 Å, 90.00 90.00 111.30°
Atoms (fractional coordinates):
Y1 0.000 0.000 0.000
Tl1 0.500 0.500 0.271
Tl2 0.500 0.500 0.729
As1 0.000 0.000 0.500



Number 1: calculated total energy -6.423 eV/atom. Number 2: calculated total energy -0.879 eV/atom. Number 3: calculated total energy -3.300 eV/atom. Number 4: calculated total energy -7.082 eV/atom. Number 5: calculated total energy -7.559 eV/atom. Number 6: calculated total energy -5.104 eV/atom. Number 7: calculated total energy -9.971 eV/atom. Number 8: calculated total energy -4.113 eV/atom. Number 9: calculated total energy -6.783 eV/atom. Number 10: calculated total energy -5.080 eV/atom. Number 11: calculated total energy -2.520 eV/atom. Number 12: calculated total energy -3.850 eV/atom.